# ZnAs3Pd (GGA-PBE, relaxed)
# energy relative to the lowest polymorph listed for this composition: 78 kJ/mol of formula units
# crystal system: cubic
# final energy: -3.2907 eV per atom
# E_form: 4.0 eV/f.u.
# mass density: 6.1 Mg/m³
data_ZnAs3Pd
_cell_length_a 4.7671
_cell_length_b 4.7671
_cell_length_c 4.7671
_cell_angle_alpha 90.00
_cell_angle_beta 90.00
_cell_angle_gamma 90.00
_symmetry_space_group_name_H-M 'P 1'
_symmetry_Int_Tables_number 1
loop_
_symmetry_equiv_pos_as_xyz
'x,y,z'
loop_
_atom_site_label
_atom_site_type_symbol
_atom_site_fract_x
_atom_site_fract_y
_atom_site_fract_z
As1 As 0.5000 0.0000 0.0000
As2 As 0.0000 0.0000 0.5000
As3 As 0.0000 0.5000 0.0000
Zn1 Zn 0.0000 0.0000 0.0000
Pd1 Pd 0.5000 0.5000 0.5000



# AcPa2OsC4 (GGA-PBE, relaxed)
# crystal system: orthorhombic
# final energy: -9.0389 eV per atom
# E_form: -1.1 eV/f.u.
# mass density: 11.2 Mg/m³
data_AcPa2OsC4
_cell_length_a 3.6443
_cell_length_b 6.3690
_cell_length_c 12.3533
_cell_angle_alpha 90.00
_cell_angle_beta 90.00
_cell_angle_gamma 106.62
_symmetry_space_group_name_H-M 'P 1'
_symmetry_Int_Tables_number 1
loop_
_symmetry_equiv_pos_as_xyz
'x,y,z'
loop_
_atom_site_label
_atom_site_type_symbol
_atom_site_fract_x
_atom_site_fract_y
_atom_site_fract_z
Os1 Os 0.1689 0.3378 0.2500
Os2 Os 0.8311 0.6622 0.7500
Ac1 Ac 0.0919 0.1837 0.7500
Ac2 Ac 0.9081 0.8163 0.2500
Pa1 Pa 0.6329 0.2658 0.4545
Pa2 Pa 0.6329 0.2658 0.0455
Pa3 Pa 0.3671 0.7342 0.9545
Pa4 Pa 0.3671 0.7342 0.5455
C1 C 0.2526 0.5052 0.1135
C2 C 0.4097 0.8194 0.7500
C3 C 0.7474 0.4948 0.8865
C4 C 0.5903 0.1806 0.2500
C5 C 0.0000 0.0000 0.5000
C6 C 0.0000 0.0000 0.0000
C7 C 0.2526 0.5052 0.3865
C8 C 0.7474 0.4948 0.6135



# Sr6GaAg3 (GGA-PBE, relaxed)
# crystal system: monoclinic
# final energy: -2.3852 eV per atom
# E_form: -2.2 eV/f.u.
# mass density: 4.1 Mg/m³
data_Sr6GaAg3
_cell_length_a 4.6538
_cell_length_b 12.0484
_cell_length_c 14.3115
_cell_angle_alpha 111.54
_cell_angle_beta 90.00
_cell_angle_gamma 90.00
_symmetry_space_group_name_H-M 'P 1'
_symmetry_Int_Tables_number 1
loop_
_symmetry_equiv_pos_as_xyz
'x,y,z'
loop_
_atom_site_label
_atom_site_type_symbol
_atom_site_fract_x
_atom_site_fract_y
_atom_site_fract_z
Sr1 Sr 0.2500 0.1578 0.2042
Sr2 Sr 0.2500 0.2433 0.6727
Sr3 Sr 0.2500 0.8976 0.5751
Sr4 Sr 0.2500 0.1552 0.8974
Sr5 Sr 0.7500 0.1024 0.4249
Sr6 Sr 0.7500 0.4801 0.6142
Sr7 Sr 0.7500 0.8422 0.7958
Sr8 Sr 0.7500 0.8448 0.1026
Sr9 Sr 0.2500 0.5700 0.9054
Sr10 Sr 0.7500 0.4300 0.0946
Sr11 Sr 0.7500 0.7567 0.3273
Sr12 Sr 0.2500 0.5199 0.3858
Ag1 Ag 0.7500 0.0806 0.0270
Ag2 Ag 0.7500 0.3437 0.8410
Ag3 Ag 0.2500 0.9194 0.9730
Ag4 Ag 0.7500 0.6956 0.5344
Ag5 Ag 0.2500 0.6563 0.1590
Ag6 Ag 0.2500 0.3044 0.4656
Ga1 Ga 0.7500 0.0779 0.7153
Ga2 Ga 0.2500 0.9221 0.2847



# Sn3BiSb (GGA-PBE, relaxed)
# energy relative to the lowest polymorph listed for this composition: 93 kJ/mol of formula units
# crystal system: cubic
# final energy: -3.2302 eV per atom
# formation energy without anion corrections: 0.77 eV per atom
# mass density: 5.7 Mg/m³
data_Sn3BiSb
_cell_length_a 5.8597
_cell_length_b 5.8597
_cell_length_c 5.8597
_cell_angle_alpha 90.00
_cell_angle_beta 90.00
_cell_angle_gamma 90.00
_symmetry_space_group_name_H-M 'P 1'
_symmetry_Int_Tables_number 1
loop_
_symmetry_equiv_pos_as_xyz
'x,y,z'
loop_
_atom_site_label
_atom_site_type_symbol
_atom_site_fract_x
_atom_site_fract_y
_atom_site_fract_z
Bi1 Bi 0.0000 0.0000 0.0000
Sn1 Sn 0.0000 0.5000 0.0000
Sn2 Sn 0.0000 0.0000 0.5000
Sn3 Sn 0.5000 0.0000 0.0000
Sb1 Sb 0.5000 0.5000 0.5000



# CaLa3Be (GGA-PBE, relaxed)
# energy relative to the lowest polymorph listed for this composition: 469 kJ/mol of formula units
# crystal system: cubic
# final energy: -2.8540 eV per atom
# E_form: 6.2 eV/f.u.
# mass density: 4.0 Mg/m³
data_CaLa3Be
_cell_length_a 5.7620
_cell_length_b 5.7620
_cell_length_c 5.7620
_cell_angle_alpha 90.00
_cell_angle_beta 90.00
_cell_angle_gamma 90.00
_symmetry_space_group_name_H-M 'P 1'
_symmetry_Int_Tables_number 1
loop_
_symmetry_equiv_pos_as_xyz
'x,y,z'
loop_
_atom_site_label
_atom_site_type_symbol
_atom_site_fract_x
_atom_site_fract_y
_atom_site_fract_z
La1 La 0.5000 0.0000 0.0000
La2 La 0.0000 0.0000 0.5000
La3 La 0.0000 0.5000 0.0000
Ca1 Ca 0.0000 0.0000 0.0000
Be1 Be 0.5000 0.5000 0.5000



# AgC3 (GGA-PBE, relaxed)
# energy relative to the lowest polymorph listed for this composition: 738 kJ/mol of formula units
# crystal system: hexagonal
# final energy: -4.7610 eV per atom
# E_form: 11.5 eV/f.u.
# mass density: 5.6 Mg/m³
data_AgC3
_cell_length_a 5.7069
_cell_length_b 5.7069
_cell_length_c 6.0540
_cell_angle_alpha 90.00
_cell_angle_beta 90.00
_cell_angle_gamma 120.00
_symmetry_space_group_name_H-M 'P 1'
_symmetry_Int_Tables_number 1
loop_
_symmetry_equiv_pos_as_xyz
'x,y,z'
loop_
_atom_site_label
_atom_site_type_symbol
_atom_site_fract_x
_atom_site_fract_y
_atom_site_fract_z
C1 C 0.5000 0.5000 0.0000
C2 C 0.5000 0.0000 0.0000
C3 C 0.5000 0.5000 0.5000
C4 C 0.2451 0.7549 0.7500
C5 C 0.5000 0.0000 0.5000
C6 C 0.7549 0.2451 0.2500
C7 C 0.0000 0.5000 0.0000
C8 C 0.7549 0.5098 0.2500
C9 C 0.4902 0.2451 0.2500
C10 C 0.5098 0.7549 0.7500
C11 C 0.2451 0.4902 0.7500
C12 C 0.0000 0.5000 0.5000
Ag1 Ag 0.0000 0.0000 0.5000
Ag2 Ag 0.0000 0.0000 0.0000
Ag3 Ag 0.6667 0.3333 0.7500
Ag4 Ag 0.3333 0.6667 0.2500